No. 1
CaMgAlAu6 | PBE | optimized geometry

Properties
calculated density: 11.38 g cm⁻³
VASP energy: -30.4 eV per formula unit
M_tot: 0.000 μB/atom
density of states at the Fermi level: 0.35 states/eV per atom

a = 7.259 Å, b = 9.422 Å, c = 10.864 Å
α = 90.00°, β = 90.00°, γ = 90.00°
Space group Imma (No. 74)
Symmetry-distinct sites (fractional):
Ca (0.000, 0.250, 0.221) [4 per cell]
Mg (0.250, 0.250, 0.750) [4 per cell]
Al (0.000, 0.000, 0.000) [4 per cell]
Au (0.000, 0.250, 0.537) [4 per cell]
Au (0.000, 0.250, 0.931) [4 per cell]
Au (0.200, 0.016, 0.372) [16 per cell]


No. 2
Ce2DyThBi4 | PBE | optimized geometry

Properties
calculated density: 9.26 g cm⁻³
VASP energy: -45.5 eV per formula unit
M_tot: 0.251 μB/atom
density of states at the Fermi level: 2.01 states/eV per atom

a = 7.887 Å, b = 4.576 Å, c = 7.957 Å
α = 90.00°, β = 109.47°, γ = 90.00°
Space group P2/m (No. 10)
Symmetry-distinct sites (fractional):
Ce (0.000, 0.000, 0.000) [1 per cell]
Ce (0.500, 0.500, 0.000) [1 per cell]
Dy (0.000, 0.500, 0.500) [1 per cell]
Th (0.500, 0.000, 0.500) [1 per cell]
Bi (0.244, 0.000, 0.745) [2 per cell]
Bi (0.246, 0.500, 0.252) [2 per cell]


No. 3
RbSr3O | PBE | optimized geometry

Properties
formation energy from raw total energies: -0.6818 eV/atom
calculated density: 3.23 g cm⁻³
relative energy among the computed polymorphs: 0.0 kJ/mol of atoms
VASP energy: -14.4 eV per formula unit
M_tot: 0.000 μB/atom
density of states at the Fermi level: 1.05 states/eV per atom

a = 5.722 Å, b = 5.722 Å, c = 5.722 Å
α = 90.00°, β = 90.00°, γ = 90.00°
Space group Pm-3m (No. 221)
Symmetry-distinct sites (fractional):
Rb (0.000, 0.000, 0.000) [1 per cell]
Sr (0.000, 0.500, 0.500) [3 per cell]
O (0.500, 0.500, 0.500) [1 per cell]


No. 4
Tm12TlAu6 | PBE | optimized geometry

Properties
calculated density: 11.41 g cm⁻³
relative energy among the computed polymorphs: 0.0 kJ/mol of atoms
VASP energy: -86.3 eV per formula unit
M_tot: 0.000 μB/atom
density of states at the Fermi level: 0.42 states/eV per atom

a = 9.977 Å, b = 9.977 Å, c = 9.977 Å
α = 90.00°, β = 90.00°, γ = 90.00°
Space group Im-3 (No. 204)
Symmetry-distinct sites (fractional):
Tm (0.000, 0.184, 0.290) [24 per cell]
Tl (0.000, 0.000, 0.000) [2 per cell]
Au (0.000, 0.361, 0.500) [12 per cell]


No. 5
KIn2Ni | PBE | optimized geometry

Properties
calculated density: 5.83 g cm⁻³
VASP energy: -11.0 eV per formula unit
M_tot: 0.000 μB/atom
density of states at the Fermi level: 0.61 states/eV per atom

a = 7.198 Å, b = 7.198 Å, c = 7.198 Å
α = 90.00°, β = 90.00°, γ = 90.00°
Space group Fm-3m (No. 225)
Symmetry-distinct sites (fractional):
K (0.000, 0.000, 0.000) [4 per cell]
In (0.250, 0.250, 0.250) [8 per cell]
Ni (0.000, 0.000, 0.500) [4 per cell]


No. 6
Nd5PuS6 | PBE | optimized geometry

Properties
formation energy from raw total energies: -1.9928 eV/atom
calculated density: 6.81 g cm⁻³
VASP energy: -86.8 eV per formula unit
M_tot: 0.481 μB/atom
density of states at the Fermi level: 1.09 states/eV per atom

a = 7.007 Å, b = 12.158 Å, c = 7.028 Å
α = 90.00°, β = 109.46°, γ = 90.00°
Space group C2/m (No. 12)
Symmetry-distinct sites (fractional):
Nd (0.000, 0.000, 0.000) [2 per cell]
Nd (0.000, 0.167, 0.500) [4 per cell]
Nd (0.000, 0.330, 0.000) [4 per cell]
Pu (0.000, 0.500, 0.500) [2 per cell]
S (0.245, 0.500, 0.252) [4 per cell]
S (0.246, 0.336, 0.746) [8 per cell]


No. 7
LiCu2Hg2 | PBE | optimized geometry

Properties
calculated density: 9.08 g cm⁻³
relative energy among the computed polymorphs: 11.9 kJ/mol of atoms
VASP energy: -10.1 eV per formula unit
M_tot: 0.000 μB/atom
density of states at the Fermi level: 0.25 states/eV per atom

a = 5.064 Å, b = 5.064 Å, c = 7.635 Å
α = 90.00°, β = 90.00°, γ = 90.00°
Space group I4/mmm (No. 139)
Symmetry-distinct sites (fractional):
Li (0.000, 0.000, 0.000) [2 per cell]
Cu (0.000, 0.000, 0.343) [4 per cell]
Hg (0.000, 0.500, 0.250) [4 per cell]


No. 8
K5Na4Cd | PBE | optimized geometry

Properties
calculated density: 1.33 g cm⁻³
VASP energy: -11.5 eV per formula unit
M_tot: 0.000 μB/atom
density of states at the Fermi level: 0.60 states/eV per atom

a = 4.598 Å, b = 4.598 Å, c = 23.664 Å
α = 90.00°, β = 90.00°, γ = 90.00°
Space group P4/mmm (No. 123)
Symmetry-distinct sites (fractional):
K (0.000, 0.000, 0.000) [1 per cell]
K (0.000, 0.000, 0.209) [2 per cell]
K (0.000, 0.000, 0.416) [2 per cell]
Na (0.500, 0.500, 0.105) [2 per cell]
Na (0.500, 0.500, 0.315) [2 per cell]
Cd (0.500, 0.500, 0.500) [1 per cell]


No. 9
Nd4O | PBE | optimized geometry

Properties
formation energy from raw total energies: -1.0262 eV/atom
calculated density: 6.16 g cm⁻³
relative energy among the computed polymorphs: 4.9 kJ/mol of atoms
VASP energy: -29.2 eV per formula unit
M_tot: 0.000 μB/atom
density of states at the Fermi level: 1.02 states/eV per atom

a = 12.213 Å, b = 5.410 Å, c = 10.817 Å
α = 90.00°, β = 116.57°, γ = 90.00°
Space group C2/c (No. 15)
Symmetry-distinct sites (fractional):
Nd (0.119, 0.001, 0.187) [8 per cell]
Nd (0.119, 0.496, 0.933) [8 per cell]
O (0.000, 0.247, 0.750) [4 per cell]


No. 10
TlAg | PBE | optimized geometry

Properties
calculated density: 11.02 g cm⁻³
VASP energy: -4.9 eV per formula unit
M_tot: 0.000 μB/atom
density of states at the Fermi level: 0.28 states/eV per atom

a = 3.289 Å, b = 3.418 Å, c = 5.082 Å
α = 90.97°, β = 107.02°, γ = 118.75°
Space group P-1 (No. 2)
Symmetry-distinct sites (fractional):
Tl (0.000, 0.000, 0.000) [1 per cell]
Ag (0.000, 0.500, 0.500) [1 per cell]


No. 11
YIn3Hg2 | PBE | optimized geometry

Properties
calculated density: 9.28 g cm⁻³
VASP energy: -16.7 eV per formula unit
M_tot: 0.000 μB/atom
density of states at the Fermi level: 0.41 states/eV per atom

a = 4.616 Å, b = 13.900 Å, c = 4.655 Å
α = 90.00°, β = 90.00°, γ = 90.00°
Space group Cmmm (No. 65)
Symmetry-distinct sites (fractional):
Y (0.000, 0.000, 0.000) [2 per cell]
In (0.000, 0.172, 0.500) [4 per cell]
In (0.000, 0.500, 0.500) [2 per cell]
Hg (0.000, 0.334, 0.000) [4 per cell]


No. 12
FePRu2 | PBE | optimized geometry

Properties
calculated density: 9.00 g cm⁻³
VASP energy: -31.3 eV per formula unit
M_tot: 0.729 μB/atom
density of states at the Fermi level: 1.22 states/eV per atom

a = 2.828 Å, b = 4.668 Å, c = 8.081 Å
α = 90.00°, β = 90.00°, γ = 90.00°
Space group Cmm2 (No. 35)
Symmetry-distinct sites (fractional):
Fe (0.000, 0.000, 0.000) [2 per cell]
P (0.000, 0.500, 0.220) [2 per cell]
Ru (0.000, 0.000, 0.447) [2 per cell]
Ru (0.000, 0.500, 0.736) [2 per cell]


No. 13
Ga3TeMo | PBE | optimized geometry

Properties
formation energy from raw total energies: 0.5179 eV/atom
calculated density: 5.59 g cm⁻³
relative energy among the computed polymorphs: 0.0 kJ/mol of atoms
VASP energy: -20.5 eV per formula unit
M_tot: 0.493 μB/atom
density of states at the Fermi level: 0.67 states/eV per atom

a = 5.047 Å, b = 5.047 Å, c = 5.047 Å
α = 90.00°, β = 90.00°, γ = 90.00°
Space group Pm-3m (No. 221)
Symmetry-distinct sites (fractional):
Ga (0.000, 0.000, 0.500) [3 per cell]
Te (0.500, 0.500, 0.500) [1 per cell]
Mo (0.000, 0.000, 0.000) [1 per cell]


No. 14
SrTi2Tc | PBE | optimized geometry

Properties
calculated density: 4.23 g cm⁻³
relative energy among the computed polymorphs: 28.8 kJ/mol of atoms
VASP energy: -24.3 eV per formula unit
M_tot: 0.000 μB/atom
density of states at the Fermi level: 1.79 states/eV per atom

a = 5.155 Å, b = 5.155 Å, c = 16.612 Å
α = 90.00°, β = 90.00°, γ = 90.00°
Space group I4_1/amd (No. 141, origin choice 2)
Symmetry-distinct sites (fractional):
Sr (0.000, 0.250, 0.375) [4 per cell]
Ti (0.000, 0.000, 0.000) [8 per cell]
Tc (0.000, 0.250, 0.875) [4 per cell]


No. 15
TaCoAg2 | PBE | optimized geometry

Properties
calculated density: 11.58 g cm⁻³
relative energy among the computed polymorphs: 26.1 kJ/mol of atoms
VASP energy: -23.0 eV per formula unit
M_tot: 0.428 μB/atom
density of states at the Fermi level: 1.07 states/eV per atom

a = 2.8251 Å, b = 2.8251 Å, c = 28.3601 Å
α = 90.00°, β = 90.00°, γ = 120.00°
Space group R-3m (No. 166, hexagonal axes)
Symmetry-distinct sites (fractional):
Ta (0.0000, 0.0000, 0.0000) [3 per cell]
Co (0.0000, 0.0000, 0.5000) [3 per cell]
Ag (0.0000, 0.0000, 0.2447) [6 per cell]


No. 16
Ag2HgPbF8 | PBE | optimized geometry

Properties
formation energy from raw total energies: -1.4840 eV/atom
calculated density: 7.19 g cm⁻³
VASP energy: -42.5 eV per formula unit
M_tot: 0.037 μB/atom
density of states at the Fermi level: 1.05 states/eV per atom

a = 5.674 Å, b = 5.674 Å, c = 11.125 Å
α = 90.00°, β = 90.00°, γ = 90.00°
Space group I-4m2 (No. 119)
Symmetry-distinct sites (fractional):
Ag (0.000, 0.000, 0.000) [2 per cell]
Ag (0.000, 0.500, 0.250) [2 per cell]
Hg (0.000, 0.000, 0.500) [2 per cell]
Pb (0.000, 0.500, 0.750) [2 per cell]
F (0.229, 0.264, 0.631) [16 per cell]


No. 17
Ac2PmNd | PBE | optimized geometry

Properties
calculated density: 7.81 g cm⁻³
relative energy among the computed polymorphs: 0.4 kJ/mol of atoms
VASP energy: -17.6 eV per formula unit
M_tot: 0.000 μB/atom
density of states at the Fermi level: 1.81 states/eV per atom

a = 3.870 Å, b = 3.870 Å, c = 10.557 Å
α = 90.00°, β = 90.00°, γ = 90.00°
Space group P4/mmm (No. 123)
Symmetry-distinct sites (fractional):
Ac (0.000, 0.000, 0.249) [2 per cell]
Pm (0.500, 0.500, 0.000) [1 per cell]
Nd (0.500, 0.500, 0.500) [1 per cell]


No. 18
Sr2CrFe | PBE | optimized geometry

Properties
calculated density: 4.00 g cm⁻³
relative energy among the computed polymorphs: 26.9 kJ/mol of atoms
VASP energy: -18.1 eV per formula unit
M_tot: 1.922 μB/atom
density of states at the Fermi level: 5.37 states/eV per atom

a = 7.772 Å, b = 7.772 Å, c = 7.772 Å
α = 90.00°, β = 90.00°, γ = 90.00°
Space group Fm-3m (No. 225)
Symmetry-distinct sites (fractional):
Sr (0.250, 0.250, 0.250) [8 per cell]
Cr (0.000, 0.000, 0.000) [4 per cell]
Fe (0.000, 0.000, 0.500) [4 per cell]


No. 19
Ca2LaRe | PBE | optimized geometry

Properties
calculated density: 5.78 g cm⁻³
relative energy among the computed polymorphs: 26.4 kJ/mol of atoms
VASP energy: -18.7 eV per formula unit
M_tot: 0.342 μB/atom
density of states at the Fermi level: 1.37 states/eV per atom

a = 4.691 Å, b = 4.702 Å, c = 10.566 Å
α = 90.00°, β = 90.00°, γ = 90.00°
Space group Cmmm (No. 65)
Symmetry-distinct sites (fractional):
Ca (0.000, 0.000, 0.184) [4 per cell]
La (0.000, 0.500, 0.500) [2 per cell]
Re (0.000, 0.500, 0.000) [2 per cell]


No. 20
BaTlIn2Rh | PBE | optimized geometry

Properties
calculated density: 6.91 g cm⁻³
relative energy among the computed polymorphs: 10.4 kJ/mol of atoms
VASP energy: -18.2 eV per formula unit
M_tot: 0.000 μB/atom
density of states at the Fermi level: 0.87 states/eV per atom

a = 5.243 Å, b = 5.243 Å, c = 5.896 Å
α = 90.00°, β = 90.00°, γ = 90.00°
Space group P4/mmm (No. 123)
Symmetry-distinct sites (fractional):
Ba (0.000, 0.000, 0.000) [1 per cell]
Tl (0.500, 0.500, 0.000) [1 per cell]
In (0.000, 0.500, 0.500) [2 per cell]
Rh (0.000, 0.000, 0.500) [1 per cell]


No. 21
PmHo3Rh | PBE | optimized geometry

Properties
calculated density: 8.13 g cm⁻³
relative energy among the computed polymorphs: 0.0 kJ/mol of atoms
VASP energy: -27.3 eV per formula unit
M_tot: 0.000 μB/atom
density of states at the Fermi level: 1.18 states/eV per atom

a = 7.555 Å, b = 6.513 Å, c = 6.168 Å
α = 90.00°, β = 90.00°, γ = 90.00°
Space group Pmn2_1 (No. 31)
Symmetry-distinct sites (fractional):
Pm (0.000, 0.146, 0.000) [2 per cell]
Ho (0.000, 0.847, 0.483) [2 per cell]
Ho (0.248, 0.317, 0.493) [4 per cell]
Rh (0.000, 0.507, 0.741) [2 per cell]


No. 22
KRePb | PBE | optimized geometry

Properties
calculated density: 9.87 g cm⁻³
relative energy among the computed polymorphs: 5.4 kJ/mol of atoms
VASP energy: -13.9 eV per formula unit
M_tot: 0.000 μB/atom
density of states at the Fermi level: 0.78 states/eV per atom

a = 3.2132 Å, b = 3.2132 Å, c = 8.1397 Å
α = 90.00°, β = 90.00°, γ = 120.00°
Space group P3m1 (No. 156)
Symmetry-distinct sites (fractional):
K (0.0000, 0.0000, 0.0000) [1 per cell]
Re (0.3333, 0.6667, 0.6541) [1 per cell]
Pb (0.6667, 0.3333, 0.3892) [1 per cell]


No. 23
CdCu | PBE | optimized geometry

Properties
calculated density: 4.66 g cm⁻³
VASP energy: -4.1 eV per formula unit
M_tot: 0.000 μB/atom
density of states at the Fermi level: 0.41 states/eV per atom

a = 7.948 Å, b = 7.948 Å, c = 7.948 Å
α = 90.00°, β = 90.00°, γ = 90.00°
Space group I-43m (No. 217)
Symmetry-distinct sites (fractional):
Cd (0.207, 0.207, 0.793) [8 per cell]
Cu (0.109, 0.109, 0.109) [8 per cell]


No. 24
PSe2 | PBE | optimized geometry

Properties
formation energy from raw total energies: 0.2434 eV/atom
calculated density: 3.53 g cm⁻³
relative energy among the computed polymorphs: 20.6 kJ/mol of atoms
VASP energy: -11.6 eV per formula unit
M_tot: 0.000 μB/atom
density of states at the Fermi level: 0.46 states/eV per atom

a = 7.5793 Å, b = 7.5793 Å, c = 7.1543 Å
α = 90.00°, β = 90.00°, γ = 120.00°
Space group P6_3/mmc (No. 194)
Symmetry-distinct sites (fractional):
P (0.3333, 0.6667, 0.0949) [4 per cell]
Se (0.0000, 0.0000, 0.0000) [2 per cell]
Se (0.1702, 0.3404, 0.2500) [6 per cell]


No. 25
Sn2HgAs | PBE | optimized geometry

Properties
calculated density: 8.52 g cm⁻³
relative energy among the computed polymorphs: 14.5 kJ/mol of atoms
VASP energy: -12.4 eV per formula unit
M_tot: 0.000 μB/atom
density of states at the Fermi level: 0.39 states/eV per atom

a = 4.949 Å, b = 4.949 Å, c = 4.081 Å
α = 90.00°, β = 90.00°, γ = 90.00°
Space group P4/mmm (No. 123)
Symmetry-distinct sites (fractional):
Sn (0.000, 0.500, 0.000) [2 per cell]
Hg (0.000, 0.000, 0.500) [1 per cell]
As (0.500, 0.500, 0.500) [1 per cell]